Entry from the Alexandria database: a relaxed CoCuOs2 crystal (PBE-GGA).

Cell: 4.517 4.517 4.635 Å, 80.14 80.14 34.06°
Fractional coordinates of all 4 atoms:
Co  0.750  0.750  0.750
Cu  0.250  0.250  0.250
Os  0.008  0.008  0.994
Os  0.492  0.492  0.506

energy of formation from the pure elements: 296 meV/atom
polymorph energy (0 for the lowest one): 65.2 meV per atom
E_tot: -8.12 eV per atom
density: 16.0 g/cm³